Entry from Alexandria: a relaxed TmMo2 crystal (GGA-PBE).

Space-group type: P6_3/mmc (194)
Crystal system: hexagonal
DOS(E_F) in states/eV per cell: 15.68
E_form in kcal/mol of atoms: 1.05

abc: 5.503 5.503 8.897
angles: 90.00 90.00 120.00
Positions (direct):
Tm 0.333 0.667 0.062
Tm 0.333 0.667 0.438
Tm 0.667 0.333 0.562
Tm 0.667 0.333 0.938
Mo 0.000 0.000 0.000
Mo 0.000 0.000 0.500
Mo 0.170 0.340 0.750
Mo 0.170 0.830 0.750
Mo 0.340 0.170 0.250
Mo 0.660 0.830 0.750
Mo 0.830 0.170 0.250
Mo 0.830 0.660 0.250